1.
The following is a DFT calculation (PBE) of crystalline SrSi2Ag at its relaxed geometry.

- N(E_F): 2.400 states/eV/cell
- ΔE_f (raw): 0.166 eV/atom
- Symmetry: P4/mmm

The structure in POSCAR format:
```
SrSi2Ag
1.0
4.4385 0.0000 0.0000
0.0000 4.3772 0.0000
0.0000 0.0000 4.3772
Sr Si Ag
1 2 1
direct
0.5000 0.5000 0.0000
0.0000 0.0000 0.0000
0.0000 0.5000 0.5000
0.5000 0.0000 0.5000
```

2.
The following is a DFT calculation (PBE) of crystalline U5Au at its relaxed geometry.

- N(E_F): 14.888 states/eV/cell
- Calculated total energy: -59.2 eV/cell
- Symmetry: Cmmm

The structure in POSCAR format:
```
U5Au
1.0
3.0326 0.0000 0.0000
0.0000 5.1842 0.0000
0.0000 -2.5921 7.8163
U Au
5 1
direct
0.5000 0.1776 0.3551
0.0000 0.3430 0.6859
0.5000 0.5000 0.0000
0.5000 0.8224 0.6449
0.0000 0.6570 0.3141
0.0000 0.0000 0.0000
```

3.
The following is a DFT calculation (PBE) of crystalline Pr3GeP2Rh9 at its relaxed geometry.

- N(E_F): 5.122 states/eV/cell
- Calculated total energy: -105.7 eV/cell
- Symmetry: P-3m1

The structure in POSCAR format:
```
Pr3GeP2Rh9
1.0
-0.7824 0.6321 6.0457
4.5028 -3.5575 -2.1519
5.4153 6.8644 -0.0169
Rh Pr P Ge
9 3 2 1
direct
0.8475 0.6950 0.7125
0.1525 0.3050 0.2875
0.6950 0.8475 0.2875
0.5000 0.0000 0.0000
0.1525 0.8475 0.2875
0.3050 0.1525 0.7125
0.5000 0.5000 0.0000
0.0000 0.5000 0.0000
0.8475 0.1525 0.7125
0.0000 0.0000 0.0000
0.6667 0.3333 0.3402
0.3333 0.6667 0.6598
0.6667 0.3333 0.8350
0.3333 0.6667 0.1650
0.0000 0.0000 0.5000
```

4.
The following is a DFT calculation (PBE) of crystalline Cd2RhC at its relaxed geometry.

- N(E_F): 2.839 states/eV/cell
- Calculated total energy: -31.8 eV/cell
- Symmetry: I-42d

The structure in POSCAR format:
```
Cd2RhC
1.0
8.7997 0.0000 0.0000
0.0000 8.7997 0.0000
4.3998 4.3998 1.9515
Cd C Rh
4 2 2
direct
0.8750 0.7309 0.7500
0.4809 0.1250 0.2500
0.2691 0.6250 0.2500
0.3750 0.5191 0.7500
0.2500 0.7500 0.5000
0.5000 0.5000 0.0000
0.0000 0.0000 0.0000
0.7500 0.2500 0.5000
```